KRb2Ti (GGA-PBE, relaxed); volume = 56.718 Å³ per atom; relative energy among the computed polymorphs = 0.000 eV per atom; ΔH_f (0 K) = 0.89 eV/atom; final energy = -1.842 eV per atom
1.0
9.6816 0.0000 0.0000
0.0000 9.6816 0.0000
0.0000 0.0000 9.6816
K Rb Ti
4 8 4
direct
0.0000 0.0000 0.0000
0.0000 0.5000 0.5000
0.5000 0.0000 0.5000
0.5000 0.5000 0.0000
0.2500 0.2500 0.2500
0.2500 0.2500 0.7500
0.2500 0.7500 0.2500
0.2500 0.7500 0.7500
0.7500 0.2500 0.2500
0.7500 0.2500 0.7500
0.7500 0.7500 0.2500
0.7500 0.7500 0.7500
0.0000 0.0000 0.5000
0.0000 0.5000 0.0000
0.5000 0.0000 0.0000
0.5000 0.5000 0.5000